No. 1
DFT (PBE) results for a relaxed structure of Nd2Ge3Pt5.

The value obtained for the raw total energy is -6.2636 eV per atom. The crystal system is orthorhombic.

```
20
Lattice="-5.040 6.574 2.928 5.040 -6.574 2.928 5.040 6.574 -2.928" Properties=species:S:1:pos:R:3 pbc="T T T"
Nd 2.338 1.743 0.000
Nd 2.338 -1.743 2.928
Nd 2.702 8.317 0.000
Nd 2.702 4.830 2.928
Ge 6.522 1.433 0.000
Ge 0.000 0.000 1.464
Ge 1.482 5.141 0.000
Ge 3.558 1.433 2.928
Ge 0.000 0.000 4.393
Ge -1.482 5.141 2.928
Pt 5.040 -2.874 1.464
Pt 3.895 -4.890 2.928
Pt 5.040 0.000 1.464
Pt 3.895 4.890 0.000
Pt 5.040 2.874 1.464
Pt 0.000 3.700 1.464
Pt 1.144 1.684 2.928
Pt 0.000 6.574 1.464
Pt 1.144 11.464 0.000
Pt 0.000 9.448 1.464
```

No. 2
DFT (PBE) results for a relaxed structure of Nd2Ge5Pt3.

The value obtained for the polymorph energy (0 for the lowest one) is 0 meV/atom. The crystal system is orthorhombic.

```
20
Lattice="-5.144 5.981 3.176 5.144 -5.981 3.176 5.144 5.981 -3.176" Properties=species:S:1:pos:R:3 pbc="T T T"
Nd 2.368 1.565 0.000
Nd 2.368 -1.565 3.176
Nd 2.777 7.546 0.000
Nd 2.777 4.416 3.176
Ge 5.144 -2.733 1.588
Ge 6.728 1.266 0.000
Ge 0.000 0.000 1.588
Ge 1.583 4.715 0.000
Ge 5.144 2.733 1.588
Ge 0.000 3.248 1.588
Ge 3.561 1.266 3.176
Ge 0.000 0.000 4.765
Ge -1.583 4.715 3.176
Ge 0.000 8.714 1.588
Pt 4.006 -4.331 3.176
Pt 5.144 0.000 1.588
Pt 4.006 4.331 0.000
Pt 1.139 1.650 3.176
Pt 0.000 5.981 1.588
Pt 1.139 10.312 0.000
```

No. 3
DFT (PBE) results for a relaxed structure of NdGe2Pt.

The value obtained for the raw total energy is -5.9147 eV per atom. The crystal system is orthorhombic.

```
16
Lattice="-2.222 4.450 8.327 2.222 -4.450 8.327 2.222 4.450 -8.327" Properties=species:S:1:pos:R:3 pbc="T T T"
Nd 0.000 0.000 3.392
Nd 0.000 2.132 0.000
Nd 0.000 6.768 0.000
Nd 0.000 0.000 13.262
Ge 2.222 0.000 1.233
Ge 2.222 -1.356 5.024
Ge 0.000 0.000 7.087
Ge 2.222 1.356 5.024
Ge 0.000 3.095 3.303
Ge 0.000 0.000 9.567
Ge 0.000 5.806 3.303
Ge 0.000 4.450 7.094
Pt 2.222 2.240 -2.477
Pt 2.222 2.240 2.477
Pt 0.000 2.210 5.850
Pt 0.000 2.210 10.804
```

No. 4
DFT (PBE) results for a relaxed structure of NdGe3Pt4.

The value obtained for the raw total energy is -5.9390 eV per atom. The crystal system is monoclinic.

```
8
Lattice="5.505 0.000 0.000 0.000 4.006 0.000 -0.929 0.000 7.035" Properties=species:S:1:pos:R:3 pbc="T T T"
Nd 0.000 0.000 0.000
Ge 0.534 2.003 4.482
Ge 2.869 2.003 0.349
Ge 3.476 0.000 3.178
Pt 1.003 0.000 2.951
Pt 1.753 0.000 5.806
Pt 3.514 2.003 4.852
Pt 4.695 2.003 2.102
```

No. 5
DFT (PBE) results for a relaxed structure of Nd2Ge5Pt3.

The value obtained for the polymorph energy (0 for the lowest one) is 2 meV/atom. The crystal system is monoclinic.

```
20
Lattice="6.037 -5.996 0.000 6.037 5.996 0.000 -3.337 0.000 5.402" Properties=species:S:1:pos:R:3 pbc="T T T"
Nd 2.002 1.603 1.240
Nd 0.333 -1.603 3.941
Nd 8.403 1.603 1.461
Nd 6.734 -1.603 4.161
Ge 5.202 5.975 1.350
Ge 1.311 1.234 4.556
Ge 5.202 2.697 1.350
Ge 3.533 2.675 4.051
Ge 2.980 -1.234 1.855
Ge 5.756 1.234 3.547
Ge 5.202 -2.675 1.350
Ge 3.533 -2.697 4.051
Ge 7.425 -1.234 0.846
Ge 3.533 -5.975 4.051
Pt 3.427 4.320 2.139
Pt 6.977 4.320 0.562
Pt 3.533 0.007 4.051
Pt 5.202 -0.007 1.350
Pt 1.759 -4.320 4.840
Pt 5.308 -4.320 3.263
```

No. 6
DFT (PBE) results for a relaxed structure of Nd3Ge4Pt2.

The value obtained for the raw total energy is -5.9532 eV per atom. The crystal system is monoclinic.

```
9
Lattice="5.611 -2.175 0.000 5.611 2.175 0.000 -1.794 0.000 8.292" Properties=species:S:1:pos:R:3 pbc="T T T"
Nd 0.000 0.000 0.000
Nd 3.148 0.000 2.804
Nd 6.280 0.000 5.488
Ge -0.068 0.000 3.198
Ge 1.365 0.000 7.706
Ge 8.063 0.000 0.585
Ge 9.496 0.000 5.094
Pt 3.140 0.000 5.998
Pt 6.288 0.000 2.294
```